Compound: BaFe2WO8
Source: the Alexandria database
Functional: GGA+U
Structure: optimized geometry

It has space group P-3 (No. 147), with a = 5.5379 Å, b = 5.5379 Å, c = 7.3225 Å, α = 90.00°, β = 90.00° and γ = 120.00°. Symmetry generates all atoms from Ba at (0.0000, 0.0000, 0.0000), Fe at (0.3333, 0.6667, 0.7231), W at (0.0000, 0.0000, 0.5000), O at (0.0650, 0.3072, 0.6585) and O at (0.3333, 0.6667, 0.9570).

As for the total DFT energy (no corrections): -6.58 eV/atom.